LuAl2Tc | GGA-PBE | relaxed

a = 3.0829 Å, b = 3.0829 Å, c = 27.1106 Å
α = 90.00°, β = 90.00°, γ = 120.00°
Space group R-3m (No. 166, hexagonal axes)
Symmetry-distinct sites (fractional):
1 Lu 0.0000 0.0000 0.0000
2 Al 0.0000 0.0000 0.2370
3 Tc 0.0000 0.0000 0.5000

Values from the calculation:
excess energy over the best structure of this formula in the dataset	300.5	meV per atom
total magnetic moment	0.0	μB/f.u.